Entry 1:
# PBE-GGA ReMo2Ru, optimized geometry
# Energy of formation, eV per atom: 0.159
# Polymorph energy (0 for the lowest one), kJ/mol of formula units: 19
# Energy, eV per atom: -10.687
data_ReMo2Ru
_cell_length_a 2.751
_cell_length_b 3.946
_cell_length_c 5.615
_cell_angle_alpha 90.00
_cell_angle_beta 90.00
_cell_angle_gamma 90.00
_symmetry_space_group_name_H-M 'P 1'
_symmetry_Int_Tables_number 1
loop_
_symmetry_equiv_pos_as_xyz
'x,y,z'
loop_
_atom_site_label
_atom_site_type_symbol
_atom_site_fract_x
_atom_site_fract_y
_atom_site_fract_z
Re1 Re 0.000 0.000 0.505
Mo1 Mo 0.000 0.000 0.991
Mo2 Mo 0.500 0.500 0.256
Ru1 Ru 0.500 0.500 0.748



Entry 2:
# PBE-GGA Cd2OsRu, optimized geometry
# Energy of formation, eV per atom: 0.608
# Polymorph energy (0 for the lowest one), kJ/mol of formula units: 168
# Energy, eV per atom: -4.976
data_Cd2OsRu
_cell_length_a 2.802
_cell_length_b 2.802
_cell_length_c 9.667
_cell_angle_alpha 90.00
_cell_angle_beta 90.00
_cell_angle_gamma 116.89
_symmetry_space_group_name_H-M 'P 1'
_symmetry_Int_Tables_number 1
loop_
_symmetry_equiv_pos_as_xyz
'x,y,z'
loop_
_atom_site_label
_atom_site_type_symbol
_atom_site_fract_x
_atom_site_fract_y
_atom_site_fract_z
Cd1 Cd 0.000 0.000 0.503
Ru1 Ru 0.500 0.500 0.750
Os1 Os 0.500 0.500 0.250
Cd2 Cd 0.000 0.000 0.997



Entry 3:
# PBE-GGA La3NdCd2, optimized geometry
# Energy of formation, eV per atom: -0.208
# Energy, eV per atom: -3.772
data_La3NdCd2
_cell_length_a 3.851
_cell_length_b 3.851
_cell_length_c 13.172
_cell_angle_alpha 90.00
_cell_angle_beta 90.00
_cell_angle_gamma 90.00
_symmetry_space_group_name_H-M 'P 1'
_symmetry_Int_Tables_number 1
loop_
_symmetry_equiv_pos_as_xyz
'x,y,z'
loop_
_atom_site_label
_atom_site_type_symbol
_atom_site_fract_x
_atom_site_fract_y
_atom_site_fract_z
La1 La 0.000 0.000 0.692
Cd1 Cd 0.500 0.500 0.844
La2 La 0.000 0.000 0.308
Nd1 Nd 0.500 0.500 0.500
Cd2 Cd 0.500 0.500 0.156
La3 La 0.000 0.000 0.000



Entry 4:
# PBE-GGA Sm12Al3Cd, optimized geometry
# Energy of formation, eV per atom: -0.155
# Energy, eV per atom: -4.453
data_Sm12Al3Cd
_cell_length_a 4.867
_cell_length_b 4.867
_cell_length_c 19.447
_cell_angle_alpha 90.00
_cell_angle_beta 90.00
_cell_angle_gamma 90.00
_symmetry_space_group_name_H-M 'P 1'
_symmetry_Int_Tables_number 1
loop_
_symmetry_equiv_pos_as_xyz
'x,y,z'
loop_
_atom_site_label
_atom_site_type_symbol
_atom_site_fract_x
_atom_site_fract_y
_atom_site_fract_z
Sm1 Sm 0.500 0.000 0.624
Sm2 Sm 0.000 0.500 0.376
Sm3 Sm 0.500 0.000 0.871
Sm4 Sm 0.500 0.000 0.376
Cd1 Cd 0.000 0.000 0.000
Al1 Al 0.000 0.000 0.251
Sm5 Sm 0.500 0.500 0.251
Al2 Al 0.000 0.000 0.749
Sm6 Sm 0.000 0.500 0.129
Sm7 Sm 0.000 0.500 0.871
Sm8 Sm 0.500 0.000 0.129
Sm9 Sm 0.500 0.500 0.749
Sm10 Sm 0.500 0.500 0.000
Al3 Al 0.000 0.000 0.500
Sm11 Sm 0.000 0.500 0.624
Sm12 Sm 0.500 0.500 0.500